No. 1
This record from the Alexandria database describes crystalline CrH10N2Cl5O at its relaxed geometry. The functional is PBE with a Hubbard U.

The structure in POSCAR format:
```
CrH10N2Cl5O
1.0
14.563 0.000 0.000
0.000 9.200 0.000
0.000 0.000 7.861
Cr H N Cl O
4 40 8 20 4
direct
0.090 0.250 0.186
0.410 0.750 0.686
0.590 0.250 0.314
0.910 0.750 0.814
0.044 0.663 0.018
0.044 0.837 0.018
0.094 0.562 0.609
0.094 0.938 0.609
0.142 0.072 0.733
0.142 0.428 0.733
0.172 0.056 0.527
0.172 0.444 0.527
0.205 0.572 0.670
0.205 0.928 0.670
0.295 0.072 0.170
0.295 0.428 0.170
0.328 0.556 0.027
0.328 0.944 0.027
0.358 0.572 0.233
0.358 0.928 0.233
0.406 0.062 0.109
0.406 0.438 0.109
0.456 0.163 0.518
0.456 0.337 0.518
0.544 0.663 0.482
0.544 0.837 0.482
0.594 0.562 0.891
0.594 0.938 0.891
0.642 0.072 0.767
0.642 0.428 0.767
0.672 0.056 0.973
0.672 0.444 0.973
0.705 0.572 0.830
0.705 0.928 0.830
0.795 0.072 0.330
0.795 0.428 0.330
0.828 0.556 0.473
0.828 0.944 0.473
0.858 0.572 0.267
0.858 0.928 0.267
0.906 0.062 0.391
0.906 0.438 0.391
0.956 0.163 0.982
0.956 0.337 0.982
0.153 0.502 0.634
0.153 0.998 0.634
0.347 0.002 0.134
0.347 0.498 0.134
0.653 0.502 0.866
0.653 0.998 0.866
0.847 0.002 0.366
0.847 0.498 0.366
0.003 0.250 0.445
0.090 0.508 0.192
0.090 0.992 0.192
0.176 0.250 0.926
0.229 0.250 0.350
0.271 0.750 0.850
0.324 0.750 0.426
0.410 0.008 0.692
0.410 0.492 0.692
0.497 0.750 0.945
0.503 0.250 0.055
0.590 0.508 0.308
0.590 0.992 0.308
0.676 0.250 0.574
0.729 0.250 0.150
0.771 0.750 0.650
0.824 0.750 0.074
0.910 0.008 0.808
0.910 0.492 0.808
0.997 0.750 0.555
0.031 0.750 0.946
0.469 0.250 0.446
0.531 0.750 0.554
0.969 0.250 0.054
```

VASP energy: -350.57 eV per cell
space-group type: Pnma (62)

No. 2
This record from the Alexandria database describes crystalline CrHClO2 at its relaxed geometry. The functional is PBE with a Hubbard U.

The structure in POSCAR format:
```
CrHClO2
1.0
6.844 0.000 0.000
0.000 2.946 0.000
-0.944 0.000 6.962
Cr H Cl O
2 2 2 4
direct
0.151 0.250 0.143
0.849 0.750 0.857
0.460 0.750 0.130
0.540 0.250 0.870
0.243 0.750 0.427
0.757 0.250 0.573
0.043 0.250 0.872
0.327 0.750 0.058
0.673 0.250 0.942
0.957 0.750 0.128
```

VASP energy: -55.62 eV per cell
space-group type: P2_1/m (11)

No. 3
This record from the Alexandria database describes crystalline CrH2ClO at its relaxed geometry. The functional is PBE with a Hubbard U.

The structure in POSCAR format:
```
CrH2ClO
1.0
3.279 0.000 0.000
0.000 3.279 0.000
0.000 0.000 6.701
Cr H Cl O
1 2 1 1
direct
0.000 0.000 0.000
0.000 0.500 0.500
0.500 0.000 0.500
0.500 0.500 0.000
0.500 0.500 0.500
```

VASP energy: -20.03 eV per cell
space-group type: P4/mmm (123)

> Look up the VASP energy of the second one.

-55.62 eV per cell

> Number 3 is which compound?

CrH2ClO

Repeat the second record exactly.
This record from the Alexandria database describes crystalline CrHClO2 at its relaxed geometry. The functional is PBE with a Hubbard U.

The structure in POSCAR format:
```
CrHClO2
1.0
6.844 0.000 0.000
0.000 2.946 0.000
-0.944 0.000 6.962
Cr H Cl O
2 2 2 4
direct
0.151 0.250 0.143
0.849 0.750 0.857
0.460 0.750 0.130
0.540 0.250 0.870
0.243 0.750 0.427
0.757 0.250 0.573
0.043 0.250 0.872
0.327 0.750 0.058
0.673 0.250 0.942
0.957 0.750 0.128
```

VASP energy: -55.62 eV per cell
space-group type: P2_1/m (11)

> Look up the VASP energy of the third one.

-20.03 eV per cell